1.
The following is a DFT calculation (PBE) of a relaxed Pr3Ho8Pu crystal.

Cell lengths 8.7089, 8.7089, 11.3455 Å; angles 90.00, 90.00, 90.00 degrees
Space group I-42m (No. 121)
One atom of each set of equivalent atoms:
Pr (0.0000, 0.0000, 0.0000) x2
Pr (0.0000, 0.5000, 0.2500) x4
Ho (0.1253, 0.1253, 0.2683) x8
Ho (0.2290, 0.2290, 0.5334) x8
Pu (0.0000, 0.0000, 0.5000) x2

Properties
Calculated formation energy: 0.563 eV per atom

---

2.
The following is a DFT calculation (PBE) of a relaxed BaNpP2Se8 crystal.

Cell lengths 6.4169, 6.4169, 9.5743 Å; angles 90.00, 90.00, 120.00 degrees
Space group P-3 (No. 147)
One atom of each set of equivalent atoms:
Ba (0.0000, 0.0000, 0.0000) x1
Np (0.0000, 0.0000, 0.5000) x1
P (0.3333, 0.6667, 0.7561) x2
Se (0.0127, 0.6617, 0.3133) x6
Se (0.3333, 0.6667, 0.9827) x2

Properties
Formation energy (no corrections): -0.596 eV per atom

---

| no. | size of the total moment (Bohr magnetons per cell) | calculated total energy (eV/atom) |
| --- | --- | --- |
| 1 | 7.94 | -4.8781 |
| 2 | 2.98 | -5.0596 |